Ba6H8Cl: relaxed, PBE-GGA.

```
Ba6H8Cl
1.0
-3.578 -6.729 1.010
3.665 -6.574 -1.565
2.374 -4.694 6.395
Ba H Cl
6 8 1
Direct
0.432 0.088 0.734 Ba
0.912 0.255 0.266 Ba
0.255 0.568 0.266 Ba
0.745 0.432 0.734 Ba
0.088 0.745 0.734 Ba
0.568 0.912 0.266 Ba
0.558 0.207 0.353 H
0.793 0.118 0.647 H
0.118 0.442 0.647 H
0.667 0.667 0.000 H
0.333 0.333 0.000 H
0.882 0.558 0.353 H
0.207 0.882 0.353 H
0.442 0.793 0.647 H
0.000 0.000 0.000 Cl
```

uncorrected energy = -3.32 eV per atom

AlFe3H: relaxed, PBE-GGA.

```
AlFe3H
1.0
3.677 0.000 0.000
0.000 3.677 0.000
0.000 0.000 3.677
H Fe Al
1 3 1
Direct
0.000 0.000 0.000 H
0.000 0.500 0.000 Fe
0.000 0.000 0.500 Fe
0.500 0.000 0.000 Fe
0.500 0.500 0.500 Al
```

distance to the lowest polymorph of the same formula = 0.00 kJ/mol of atoms